# 1
## Rb6CdCl8 (PBE-GGA)

Data for a relaxed Rb6CdCl8 crystal.

Results
Calculated total energy in eV/cell: -192.78
Mass density in Mg/m³: 2.8

Cell lengths 12.9939, 12.9939, 12.9939 Å; angles 90.00, 90.00, 90.00 degrees
Space group Fm-3m (No. 225)
Symmetry-distinct sites (fractional):
Rb  0.0000  0.2500  0.2500 [24 per cell]
Cd  0.0000  0.0000  0.0000 [4 per cell]
Cl  0.0000  0.0000  0.2080 [24 per cell]
Cl  0.2500  0.2500  0.2500 [8 per cell]

---

# 2
## CsTmAs (PBE-GGA)

Data for a relaxed CsTmAs crystal.

Results
Calculated total energy in eV/cell: -39.43
Mass density in Mg/m³: 5.9

Cell lengths 7.5235, 7.5235, 7.5235 Å; angles 90.00, 90.00, 90.00 degrees
Space group F-43m (No. 216)
Symmetry-distinct sites (fractional):
Cs  0.0000  0.0000  0.0000 [4 per cell]
Tm  0.0000  0.0000  0.5000 [4 per cell]
As  0.2500  0.2500  0.2500 [4 per cell]

---

# 3
## BiPd15 (PBE-GGA)

Data for a relaxed BiPd15 crystal.

Results
Calculated total energy in eV/cell: -164.12
Mass density in Mg/m³: 8.9

Cell lengths 3.9468, 3.9467, 43.1402 Å; angles 90.00, 90.00, 90.00 degrees
Space group Pmma (No. 51)
Symmetry-distinct sites (fractional):
Bi  0.2500  0.0000  0.1531 [2 per cell]
Pd  0.2500  0.0000  0.2508 [2 per cell]
Pd  0.2500  0.0000  0.3418 [2 per cell]
Pd  0.2500  0.0000  0.4322 [2 per cell]
Pd  0.2500  0.0000  0.5227 [2 per cell]
Pd  0.2500  0.0000  0.6133 [2 per cell]
Pd  0.2500  0.0000  0.7036 [2 per cell]
Pd  0.2500  0.0000  0.7956 [2 per cell]
Pd  0.2500  0.5000  0.2044 [2 per cell]
Pd  0.2500  0.5000  0.2964 [2 per cell]
Pd  0.2500  0.5000  0.3867 [2 per cell]
Pd  0.2500  0.5000  0.4773 [2 per cell]
Pd  0.2500  0.5000  0.5678 [2 per cell]
Pd  0.2500  0.5000  0.6582 [2 per cell]
Pd  0.2500  0.5000  0.7494 [2 per cell]
Pd  0.2500  0.5000  0.8420 [2 per cell]

---

# 4
## YErPt (PBE-GGA)

Data for a relaxed YErPt crystal.

Results
Mass density in Mg/m³: 10.2
Formation energy in eV/atom: -0.9691

Cell lengths 7.1191, 4.7444, 8.7136 Å; angles 90.00, 90.00, 90.00 degrees
Space group Pnma (No. 62)
Symmetry-distinct sites (fractional):
Y  0.0111  0.2500  0.1701 [4 per cell]
Er  0.1440  0.2500  0.5792 [4 per cell]
Pt  0.2459  0.2500  0.9056 [4 per cell]